A plane-wave DFT calculation with PBE with a Hubbard U was carried out for a relaxed AcCo2OsO8 crystal.

```
AcCo2OsO8
1.0
4.838 0.433 0.289
0.473 4.836 0.287
0.418 0.423 7.011
O Ac Co Os
8 1 2 1
Direct
0.663 0.668 0.496
0.782 0.215 0.798
0.790 0.222 0.201
0.246 0.240 0.948
0.210 0.778 0.799
0.754 0.760 0.052
0.218 0.785 0.202
0.337 0.332 0.504
0.000 0.000 0.500
0.463 0.463 0.722
0.537 0.537 0.278
0.000 0.000 0.000
```

Uncorrected energy ... -6.812 eV per atom
DOS(E_F) ... 0.73 states/eV per cell